No. 1
The following is a GGA-PBE calculation of crystalline ScSbPd6 at its relaxed geometry, from Alexandria.

POSCAR file:
```
ScSbPd6
1.0
7.015 0.358 -0.150
3.815 6.598 0.039
3.485 2.364 3.021
Pd Sb Sc
6 1 1
Cartesian
11.482 8.281 2.189 Pd
8.983 6.676 1.901 Pd
2.979 4.013 0.454 Pd
5.332 2.644 1.009 Pd
11.336 5.307 2.456 Pd
2.833 1.040 0.721 Pd
0.000 0.000 0.000 Sb
7.157 4.660 1.455 Sc
```

Properties
As for the size of the total moment: 0.00 μB per formula unit. Its density of states at the Fermi level is 0.485 states/eV/atom. Its crystal system is triclinic. Its space group is P-1 (2). For the formation energy from raw total energies, the calculation gives -0.492 eV per atom. The energy above the most stable polymorph in this dataset comes out at 130 meV per atom.

=====

No. 2
The following is a GGA-PBE calculation of crystalline Sc2SbPd4 at its relaxed geometry, from Alexandria.

POSCAR file:
```
Sc2SbPd4
1.0
4.452 0.000 1.391
2.009 3.973 1.391
0.212 0.131 7.140
Pd Sc Sb
4 2 1
Cartesian
3.778 2.323 3.548 Pd
5.649 3.474 5.378 Pd
1.024 0.629 4.543 Pd
2.895 1.780 6.374 Pd
4.887 3.005 7.818 Sc
1.786 1.098 2.104 Sc
0.000 0.000 0.000 Sb
```

Properties
As for the size of the total moment: 0.00 μB per formula unit. Its density of states at the Fermi level is 0.351 states/eV/atom. Its crystal system is trigonal. Its space group is R-3m (166). For the formation energy from raw total energies, the calculation gives -0.728 eV per atom. The energy above the most stable polymorph in this dataset comes out at 0 meV per atom.

=====

No. 3
The following is a GGA-PBE calculation of crystalline Sc5SbPd2 at its relaxed geometry, from Alexandria.

POSCAR file:
```
Sc5SbPd2
1.0
-4.338 -4.839 -3.201
0.496 -4.291 5.815
-3.234 7.475 1.280
Pd Sc Sb
4 10 2
Cartesian
-0.425 -2.222 1.652 Pd
-3.417 -6.908 0.962 Pd
-1.138 -5.439 3.851 Pd
-2.704 -3.691 -1.236 Pd
-1.851 -2.699 4.067 Sc
0.000 0.000 0.000 Sc
-4.143 -0.171 3.351 Sc
-1.921 -4.565 1.307 Sc
-2.069 3.074 3.833 Sc
-5.225 1.044 -0.173 Sc
-5.007 -4.729 0.061 Sc
-2.933 -1.484 0.543 Sc
-3.151 4.289 0.310 Sc
-3.925 -5.944 3.584 Sc
-2.577 1.455 1.293 Sb
-4.499 -3.110 2.601 Sb
```

Properties
As for the size of the total moment: 0.00 μB per formula unit. Its density of states at the Fermi level is 0.726 states/eV/atom. Its crystal system is tetragonal. Its space group is I4/mcm (140). For the formation energy from raw total energies, the calculation gives -0.734 eV per atom.

=====

No. 4
The following is a GGA-PBE calculation of crystalline Sc2SbPd9 at its relaxed geometry, from Alexandria.

POSCAR file:
```
Sc2SbPd9
1.0
4.021 0.000 0.000
0.000 4.021 0.000
0.000 0.000 12.071
Pd Sb Sc
9 1 2
Cartesian
2.011 0.000 6.035 Pd
0.000 2.011 10.048 Pd
0.000 2.011 2.023 Pd
0.000 2.011 6.035 Pd
2.011 2.011 8.061 Pd
2.011 2.011 0.000 Pd
2.011 0.000 10.048 Pd
2.011 2.011 4.010 Pd
2.011 0.000 2.023 Pd
0.000 0.000 0.000 Sb
0.000 0.000 7.991 Sc
0.000 0.000 4.080 Sc
```

Properties
As for the size of the total moment: 0.00 μB per formula unit. Its density of states at the Fermi level is 0.399 states/eV/atom. Its crystal system is tetragonal. Its space group is P4/mmm (123). For the formation energy from raw total energies, the calculation gives -0.702 eV per atom.

=====

No. 5
The following is a GGA-PBE calculation of crystalline ScSbPd14 at its relaxed geometry, from Alexandria.

POSCAR file:
```
ScSbPd14
1.0
-5.162 -2.184 0.927
0.730 -3.575 -4.354
3.123 -5.308 4.881
Pd Sc Sb
14 1 1
Cartesian
1.791 -4.698 3.235 Pd
-0.796 -5.793 3.700 Pd
-1.992 -4.930 -0.924 Pd
-2.358 -3.138 1.258 Pd
-1.297 -3.947 -3.463 Pd
0.229 -2.043 0.794 Pd
-2.681 -5.906 1.619 Pd
-1.662 -2.160 -1.285 Pd
-4.243 -3.252 -0.822 Pd
0.265 -6.601 -1.022 Pd
-0.430 -7.584 1.517 Pd
-3.878 -5.039 -2.999 Pd
0.595 -3.835 -1.389 Pd
2.157 -6.490 1.052 Pd
-2.316 -7.693 -0.558 Sc
-0.100 -4.814 1.155 Sb
```

Properties
As for the size of the total moment: 0.00 μB per formula unit. Its density of states at the Fermi level is 1.544 states/eV/atom. Its crystal system is tetragonal. Its space group is P4/mmm (123). For the formation energy from raw total energies, the calculation gives -0.314 eV per atom.

=====

No. 6
The following is a GGA-PBE calculation of crystalline ScSbPd2 at its relaxed geometry, from Alexandria.

POSCAR file:
```
ScSbPd2
1.0
-0.200 -3.882 -1.561
3.693 0.570 -1.892
6.055 -4.870 5.713
Pd Sb Sc
4 2 2
Cartesian
5.829 -4.898 3.001 Pd
1.849 -3.595 0.207 Pd
3.798 -1.323 0.060 Pd
7.619 -6.547 1.252 Pd
0.000 0.000 0.000 Sb
3.800 -5.204 1.213 Sb
5.747 -2.978 1.047 Sc
1.746 -1.656 -1.727 Sc
```

Properties
As for the size of the total moment: 0.00 μB per formula unit. Its density of states at the Fermi level is 0.557 states/eV/atom. Its crystal system is tetragonal. Its space group is I-42d (122). For the formation energy from raw total energies, the calculation gives -0.532 eV per atom.

=====

No. 7
The following is a GGA-PBE calculation of crystalline Sc4SbPd7 at its relaxed geometry, from Alexandria.

POSCAR file:
```
Sc4SbPd7
1.0
4.967 0.000 0.000
2.483 8.652 -0.007
2.483 0.324 5.313
Pd Sc Sb
7 4 1
Cartesian
2.483 0.903 2.600 Pd
7.450 8.073 2.706 Pd
4.967 4.190 1.341 Pd
2.483 5.929 0.947 Pd
7.450 3.047 4.359 Pd
4.967 4.786 3.965 Pd
2.483 0.000 0.000 Pd
7.450 5.845 4.250 Sc
4.967 2.139 3.146 Sc
4.967 6.837 2.160 Sc
2.483 3.131 1.056 Sc
0.000 0.000 0.000 Sb
```

Properties
As for the size of the total moment: 0.00 μB per formula unit. Its density of states at the Fermi level is 0.598 states/eV/atom. Its crystal system is monoclinic. Its space group is C2/m (12). For the formation energy from raw total energies, the calculation gives -0.641 eV per atom.

=====

No. 8
The following is a GGA-PBE calculation of crystalline ScSb4Pd15 at its relaxed geometry, from Alexandria.

POSCAR file:
```
ScSb4Pd15
1.0
4.053 0.000 0.000
0.000 4.053 0.000
0.000 0.000 20.151
Pd Sc Sb
15 1 4
Cartesian
2.027 0.000 6.027 Pd
2.027 2.027 4.039 Pd
2.027 0.000 14.123 Pd
0.000 2.027 10.075 Pd
0.000 2.027 18.164 Pd
2.027 2.027 0.000 Pd
0.000 2.027 6.027 Pd
2.027 2.027 12.101 Pd
0.000 2.027 1.987 Pd
2.027 2.027 16.111 Pd
2.027 0.000 10.075 Pd
2.027 0.000 18.164 Pd
0.000 2.027 14.123 Pd
2.027 2.027 8.050 Pd
2.027 0.000 1.987 Pd
0.000 0.000 0.000 Sc
0.000 0.000 12.112 Sb
0.000 0.000 16.195 Sb
0.000 0.000 8.038 Sb
0.000 0.000 3.956 Sb
```

Properties
As for the size of the total moment: 0.00 μB per formula unit. Its density of states at the Fermi level is 0.508 states/eV/atom. Its crystal system is tetragonal. Its space group is P4/mmm (123). For the formation energy from raw total energies, the calculation gives -0.470 eV per atom.

=====

Which value of size of the total moment does entry 3 give? 0.00 μB per formula unit